#w
Here is a relaxed Rh4C3 crystal from Alexandria via LeMat-Bulk. Energies are from GGA-PBE.

Summary:
**Space-group type**: No. 215

a = 4.4938 Å, b = 4.4938 Å, c = 4.4938 Å
α = 90.00°, β = 90.00°, γ = 90.00°
With the nearest neighbours (Å) after each atom.
Positions (direct):
Rh 0.2503 0.2503 0.2503  3 C 1.95
Rh 0.2503 0.7497 0.7497  3 C 1.95
Rh 0.7497 0.2503 0.7497  3 C 1.95
Rh 0.7497 0.7497 0.2503  3 C 1.95
C 0.0000 0.0000 0.5000  4 Rh 1.95
C 0.0000 0.5000 0.0000  4 Rh 1.95
C 0.5000 0.0000 0.0000  4 Rh 1.95



#x
Here is a relaxed Rh4C3 crystal from Alexandria via LeMat-Bulk. Energies are from GGA-PBE.

Summary:
**Space-group type**: No. 221

a = 4.2668 Å, b = 4.2668 Å, c = 4.2668 Å
α = 90.00°, β = 90.00°, γ = 90.00°
With the nearest neighbours (Å) after each atom.
Positions (direct):
Rh 0.0000 0.0000 0.0000  6 C 2.13
Rh 0.0000 0.5000 0.5000  4 C 2.13
Rh 0.5000 0.0000 0.5000  4 C 2.13
Rh 0.5000 0.5000 0.0000  4 C 2.13
C 0.0000 0.0000 0.5000  6 Rh 2.13
C 0.0000 0.5000 0.0000  6 Rh 2.13
C 0.5000 0.0000 0.0000  6 Rh 2.13



Q: What are the energies relative to the best structure? A: #w 0; #x 257, in meV/atom.



#w
Here is a relaxed RuRh3C crystal from Alexandria via LeMat-Bulk. Energies are from GGA-PBE.

Summary:
**Space-group type**: No. 221

a = 4.6443 Å, b = 4.6443 Å, c = 4.6443 Å
α = 90.00°, β = 90.00°, γ = 90.00°
With the nearest neighbours (Å) after each atom.
Positions (direct):
Ru 0.0000 0.0000 0.0000  6 Rh 2.32
Rh 0.0000 0.0000 0.5000  2 Ru 2.32
Rh 0.0000 0.5000 0.0000  2 Ru 2.32
Rh 0.5000 0.0000 0.0000  2 Ru 2.32
C 0.5000 0.5000 0.5000  12 Rh 3.28



#x
Here is a relaxed RuRh3C crystal from Alexandria via LeMat-Bulk. Energies are from GGA-PBE.

Summary:
**Space-group type**: No. 221

a = 4.0456 Å, b = 4.0456 Å, c = 4.0456 Å
α = 90.00°, β = 90.00°, γ = 90.00°
With the nearest neighbours (Å) after each atom.
Positions (direct):
Ru 0.0000 0.0000 0.0000  12 Rh 2.86
Rh 0.0000 0.5000 0.5000  2 C 2.02
Rh 0.5000 0.0000 0.5000  2 C 2.02
Rh 0.5000 0.5000 0.0000  2 C 2.02
C 0.5000 0.5000 0.5000  6 Rh 2.02



Q: What are the energies relative to the best structure? A: #w 2176; #x 0, in meV/atom.



#w
Here is a relaxed RuRhC2 crystal from Alexandria via LeMat-Bulk. Energies are from GGA-PBE.

Summary:
**Space-group type**: No. 122

a = 5.6216 Å, b = 5.6216 Å, c = 5.6216 Å
α = 131.85°, β = 131.85°, γ = 70.47°
With the nearest neighbours (Å) after each atom.
Positions (direct):
Ru 0.0000 0.0000 0.0000  4 C 1.96
Ru 0.7500 0.2500 0.5000  4 C 1.96
Rh 0.2500 0.7500 0.5000  4 C 2.01
Rh 0.5000 0.5000 0.0000  4 C 2.01
C 0.1156 0.6250 0.9906  2 Ru 1.96, 2 Rh 2.01
C 0.3750 0.3656 0.4906  2 Ru 1.96, 2 Rh 2.01
C 0.6344 0.1250 0.0094  2 Ru 1.96, 2 Rh 2.01
C 0.8750 0.8844 0.5094  2 Ru 1.96, 2 Rh 2.01



#x
Here is a relaxed RuRhC2 crystal from Alexandria via LeMat-Bulk. Energies are from GGA-PBE.

Summary:
**Space-group type**: No. 225

a = 3.8035 Å, b = 3.8035 Å, c = 3.8035 Å
α = 60.00°, β = 60.00°, γ = 60.00°
With the nearest neighbours (Å) after each atom.
Positions (direct):
Ru 0.0000 0.0000 0.0000  8 C 2.33
Rh 0.5000 0.5000 0.5000  8 C 2.33
C 0.2500 0.2500 0.2500  4 Rh 2.33, 4 Ru 2.33
C 0.7500 0.7500 0.7500  4 Ru 2.33, 4 Rh 2.33



Q: What are the energies relative to the best structure? A: #w 0; #x 799, in meV/atom.



#w
Here is a relaxed ZnRuRh2C crystal from Alexandria via LeMat-Bulk. Energies are from GGA-PBE.

Summary:
**Space-group type**: No. 123

a = 4.0365 Å, b = 4.0365 Å, c = 4.0466 Å
α = 90.00°, β = 90.00°, γ = 90.00°
With the nearest neighbours (Å) after each atom.
Positions (direct):
Zn 0.0000 0.0000 0.0000  4 Ru 2.85, 8 Rh 2.86
Ru 0.5000 0.5000 0.0000  2 C 2.02
Rh 0.0000 0.5000 0.5000  2 C 2.02
Rh 0.5000 0.0000 0.5000  2 C 2.02
C 0.5000 0.5000 0.5000  4 Rh 2.02, 2 Ru 2.02



#x
Here is a relaxed ZnRuRh2C crystal from Alexandria via LeMat-Bulk. Energies are from GGA-PBE.

Summary:
**Space-group type**: No. 123

a = 4.6317 Å, b = 4.6317 Å, c = 4.7577 Å
α = 90.00°, β = 90.00°, γ = 90.00°
With the nearest neighbours (Å) after each atom.
Positions (direct):
Zn 0.0000 0.0000 0.0000  2 Ru 2.38
Ru 0.0000 0.0000 0.5000  4 Rh 2.32, 2 Zn 2.38
Rh 0.0000 0.5000 0.5000  2 Ru 2.32
Rh 0.5000 0.0000 0.5000  2 Ru 2.32
C 0.5000 0.5000 0.0000  4 Zn 3.28, 8 Rh 3.32



Q: What are the energies relative to the best structure? A: #w 0; #x 2304, in meV/atom.



#w
Here is a relaxed ZrRu2RhC crystal from Alexandria via LeMat-Bulk. Energies are from GGA-PBE.

Summary:
**Space-group type**: No. 123

a = 4.9056 Å, b = 4.9056 Å, c = 3.7076 Å
α = 90.00°, β = 90.00°, γ = 90.00°
With the nearest neighbours (Å) after each atom.
Positions (direct):
Zr 0.0000 0.0000 0.0000  8 Ru 3.07
Ru 0.0000 0.5000 0.5000  2 Rh 2.45
Ru 0.5000 0.0000 0.5000  2 Rh 2.45
Rh 0.5000 0.5000 0.5000  2 C 1.85
C 0.5000 0.5000 0.0000  2 Rh 1.85



#x
Here is a relaxed ZrRu2RhC crystal from Alexandria via LeMat-Bulk. Energies are from GGA-PBE.

Summary:
**Space-group type**: No. 123

a = 4.1171 Å, b = 4.1171 Å, c = 4.1063 Å
α = 90.00°, β = 90.00°, γ = 90.00°
With the nearest neighbours (Å) after each atom.
Positions (direct):
Zr 0.0000 0.0000 0.0000  8 Ru 2.91, 4 Rh 2.91
Ru 0.0000 0.5000 0.5000  2 C 2.06
Ru 0.5000 0.0000 0.5000  2 C 2.06
Rh 0.5000 0.5000 0.0000  2 C 2.05
C 0.5000 0.5000 0.5000  2 Rh 2.05, 4 Ru 2.06



Q: What are the energies relative to the best structure? A: #w 1618; #x 0, in meV/atom.



#w
Here is a relaxed Rh2CS2 crystal from Alexandria via LeMat-Bulk. Energies are from GGA-PBE.

Summary:
**Space-group type**: No. 127

a = 6.5959 Å, b = 6.5959 Å, c = 3.2591 Å
α = 90.00°, β = 90.00°, γ = 90.00°
With the nearest neighbours (Å) after each atom.
Positions (direct):
Rh 0.1718 0.3282 0.0000  2 S 2.28
Rh 0.3282 0.8282 0.0000  2 S 2.28
Rh 0.6718 0.1718 0.0000  2 S 2.28
Rh 0.8282 0.6718 0.0000  2 S 2.28
C 0.0000 0.0000 0.5000  4 S 2.49
C 0.5000 0.5000 0.5000  4 S 2.49
S 0.1571 0.6571 0.5000  2 Rh 2.28, 2 C 2.49
S 0.3429 0.1571 0.5000  2 Rh 2.28, 2 C 2.49
S 0.6571 0.8429 0.5000  2 Rh 2.28, 2 C 2.49
S 0.8429 0.3429 0.5000  2 Rh 2.28, 2 C 2.49



#x
Here is a relaxed Rh2CS2 crystal from Alexandria via LeMat-Bulk. Energies are from GGA-PBE.

Summary:
**Space-group type**: No. 139

a = 5.9959 Å, b = 5.9959 Å, c = 5.9959 Å
α = 141.86°, β = 141.86°, γ = 55.04°
With the nearest neighbours (Å) after each atom.
Positions (direct):
Rh 0.2500 0.7500 0.5000  4 S 2.34
Rh 0.7500 0.2500 0.5000  4 S 2.34
C 0.0000 0.0000 0.0000  8 S 3.09, 8 Rh 3.30
S 0.3711 0.3711 0.0000  4 Rh 2.34
S 0.6289 0.6289 0.0000  4 Rh 2.34



Q: What are the energies relative to the best structure? A: #w 46; #x 0, in meV/atom.



#w
Here is a relaxed Rh2CS crystal from Alexandria via LeMat-Bulk. Energies are from GGA-PBE.

Summary:
**Space-group type**: No. 122

a = 6.1271 Å, b = 6.1271 Å, c = 6.1271 Å
α = 133.21°, β = 133.21°, γ = 68.32°
With the nearest neighbours (Å) after each atom.
Positions (direct):
Rh 0.0616 0.6250 0.9366  2 C 1.98
Rh 0.3750 0.3116 0.4366  2 C 1.98
Rh 0.6884 0.1250 0.0634  2 C 1.98
Rh 0.8750 0.9384 0.5634  2 C 1.98
C 0.0000 0.0000 0.0000  4 Rh 1.98
C 0.7500 0.2500 0.5000  4 Rh 1.98
S 0.2500 0.7500 0.5000  4 Rh 2.33
S 0.5000 0.5000 0.0000  4 Rh 2.33



#x
Here is a relaxed Rh2CS crystal from Alexandria via LeMat-Bulk. Energies are from GGA-PBE.

Summary:
**Space-group type**: No. 225

a = 4.0846 Å, b = 4.0846 Å, c = 4.0846 Å
α = 60.00°, β = 60.00°, γ = 60.00°
With the nearest neighbours (Å) after each atom.
Positions (direct):
Rh 0.2500 0.2500 0.2500  4 S 2.50, 4 C 2.50
Rh 0.7500 0.7500 0.7500  4 S 2.50, 4 C 2.50
C 0.0000 0.0000 0.0000  8 Rh 2.50
S 0.5000 0.5000 0.5000  8 Rh 2.50



Q: What are the energies relative to the best structure? A: #w 0; #x 812, in meV/atom.



#w
Here is a relaxed SbRhC3 crystal from Alexandria via LeMat-Bulk. Energies are from GGA-PBE.

Summary:
**Space-group type**: No. 221

a = 4.1745 Å, b = 4.1745 Å, c = 4.1745 Å
α = 90.00°, β = 90.00°, γ = 90.00°
With the nearest neighbours (Å) after each atom.
Positions (direct):
Sb 0.0000 0.0000 0.0000  6 C 2.09
Rh 0.5000 0.5000 0.5000  12 C 2.95
C 0.0000 0.0000 0.5000  2 Sb 2.09
C 0.0000 0.5000 0.0000  2 Sb 2.09
C 0.5000 0.0000 0.0000  2 Sb 2.09



#x
Here is a relaxed SbRhC3 crystal from Alexandria via LeMat-Bulk. Energies are from GGA-PBE.

Summary:
**Space-group type**: No. 221

a = 4.0505 Å, b = 4.0505 Å, c = 4.0505 Å
α = 90.00°, β = 90.00°, γ = 90.00°
With the nearest neighbours (Å) after each atom.
Positions (direct):
Sb 0.0000 0.0000 0.0000  12 C 2.86
Rh 0.5000 0.5000 0.5000  6 C 2.03
C 0.0000 0.5000 0.5000  2 Rh 2.03
C 0.5000 0.0000 0.5000  2 Rh 2.03
C 0.5000 0.5000 0.0000  2 Rh 2.03



Q: What are the energies relative to the best structure? A: #w 844; #x 0, in meV/atom.



#w
Here is a relaxed SbRh3C crystal from Alexandria via LeMat-Bulk. Energies are from GGA-PBE.

Summary:
**Space-group type**: No. 221

a = 4.1717 Å, b = 4.1717 Å, c = 4.1717 Å
α = 90.00°, β = 90.00°, γ = 90.00°
With the nearest neighbours (Å) after each atom.
Positions (direct):
Sb 0.0000 0.0000 0.0000  12 Rh 2.95
Rh 0.0000 0.5000 0.5000  2 C 2.09
Rh 0.5000 0.0000 0.5000  2 C 2.09
Rh 0.5000 0.5000 0.0000  2 C 2.09
C 0.5000 0.5000 0.5000  6 Rh 2.09



#x
Here is a relaxed SbRh3C crystal from Alexandria via LeMat-Bulk. Energies are from GGA-PBE.

Summary:
**Space-group type**: No. 221

a = 4.8363 Å, b = 4.8363 Å, c = 4.8363 Å
α = 90.00°, β = 90.00°, γ = 90.00°
With the nearest neighbours (Å) after each atom.
Positions (direct):
Sb 0.0000 0.0000 0.0000  6 Rh 2.42
Rh 0.0000 0.0000 0.5000  2 Sb 2.42
Rh 0.0000 0.5000 0.0000  2 Sb 2.42
Rh 0.5000 0.0000 0.0000  2 Sb 2.42
C 0.5000 0.5000 0.5000  12 Rh 3.42



Q: What are the energies relative to the best structure? A: #w 0; #x 2167, in meV/atom.



#w
Here is a relaxed Sb2TeRhC crystal from Alexandria via LeMat-Bulk. Energies are from GGA-PBE.

Summary:
**Space-group type**: No. 123

a = 5.0392 Å, b = 5.0392 Å, c = 5.4590 Å
α = 90.00°, β = 90.00°, γ = 90.00°
With the nearest neighbours (Å) after each atom.
Positions (direct):
Sb 0.0000 0.5000 0.0000  2 Rh 2.52
Sb 0.5000 0.0000 0.0000  2 Rh 2.52
Te 0.0000 0.0000 0.5000  2 Rh 2.73
Rh 0.0000 0.0000 0.0000  4 Sb 2.52, 2 Te 2.73
C 0.5000 0.5000 0.5000  4 Te 3.56, 8 Sb 3.71



#x
Here is a relaxed Sb2TeRhC crystal from Alexandria via LeMat-Bulk. Energies are from GGA-PBE.

Summary:
**Space-group type**: No. 123

a = 4.6488 Å, b = 4.6488 Å, c = 4.6130 Å
α = 90.00°, β = 90.00°, γ = 90.00°
With the nearest neighbours (Å) after each atom.
Positions (direct):
Sb 0.0000 0.5000 0.0000  2 C 2.32
Sb 0.5000 0.0000 0.0000  2 C 2.32
Te 0.0000 0.0000 0.5000  2 C 2.31
Rh 0.5000 0.5000 0.5000  8 Sb 3.27, 4 Te 3.29
C 0.0000 0.0000 0.0000  2 Te 2.31, 4 Sb 2.32



Q: What are the energies relative to the best structure? A: #w 585; #x 0, in meV/atom.



#w
Here is a relaxed SbTe2RhC crystal from Alexandria via LeMat-Bulk. Energies are from GGA-PBE.

Summary:
**Space-group type**: No. 123

a = 4.6918 Å, b = 4.6918 Å, c = 4.6001 Å
α = 90.00°, β = 90.00°, γ = 90.00°
With the nearest neighbours (Å) after each atom.
Positions (direct):
Sb 0.0000 0.0000 0.0000  2 C 2.30
Te 0.0000 0.5000 0.5000  2 C 2.35
Te 0.5000 0.0000 0.5000  2 C 2.35
Rh 0.5000 0.5000 0.0000  8 Te 3.29, 4 Sb 3.32
C 0.0000 0.0000 0.5000  2 Sb 2.30, 4 Te 2.35



#x
Here is a relaxed SbTe2RhC crystal from Alexandria via LeMat-Bulk. Energies are from GGA-PBE.

Summary:
**Space-group type**: No. 123

a = 5.3187 Å, b = 5.3187 Å, c = 4.9733 Å
α = 90.00°, β = 90.00°, γ = 90.00°
With the nearest neighbours (Å) after each atom.
Positions (direct):
Sb 0.0000 0.0000 0.0000  2 Rh 2.49
Te 0.0000 0.5000 0.5000  2 Rh 2.66
Te 0.5000 0.0000 0.5000  2 Rh 2.66
Rh 0.0000 0.0000 0.5000  2 Sb 2.49, 4 Te 2.66
C 0.5000 0.5000 0.0000  8 Te 3.64, 4 Sb 3.76



Q: What are the energies relative to the best structure? A: #w 0; #x 537, in meV/atom.



#w
Here is a relaxed Sc3RhC crystal from Alexandria via LeMat-Bulk. Energies are from GGA-PBE.

Summary:
**Space-group type**: No. 221

a = 4.8968 Å, b = 4.8968 Å, c = 4.8968 Å
α = 90.00°, β = 90.00°, γ = 90.00°
With the nearest neighbours (Å) after each atom.
Positions (direct):
Sc 0.0000 0.0000 0.5000  2 Rh 2.45
Sc 0.0000 0.5000 0.0000  2 Rh 2.45
Sc 0.5000 0.0000 0.0000  2 Rh 2.45
Rh 0.0000 0.0000 0.0000  6 Sc 2.45
C 0.5000 0.5000 0.5000  12 Sc 3.46



#x
Here is a relaxed Sc3RhC crystal from Alexandria via LeMat-Bulk. Energies are from GGA-PBE.

Summary:
**Space-group type**: No. 221

a = 4.4416 Å, b = 4.4416 Å, c = 4.4416 Å
α = 90.00°, β = 90.00°, γ = 90.00°
With the nearest neighbours (Å) after each atom.
Positions (direct):
Sc 0.0000 0.0000 0.5000  2 C 2.22
Sc 0.0000 0.5000 0.0000  2 C 2.22
Sc 0.5000 0.0000 0.0000  2 C 2.22
Rh 0.5000 0.5000 0.5000  12 Sc 3.14
C 0.0000 0.0000 0.0000  6 Sc 2.22



Q: What are the energies relative to the best structure? A: #w 1419; #x 0, in meV/atom.